DFT (PBE+U) results for a geometry-optimized La2MnCdO5 structure.

Lattice parameters (Å, degrees): 6.9647 6.9647 5.7282 90.00 90.00 90.00
Closest atoms and distances in Å follow each position.
Element x y z (fractional)
La 0.1802 0.3198 0.0000  8 O 2.38-2.65
La 0.3198 0.8198 0.0000  8 O 2.38-2.65
La 0.6802 0.1802 0.0000  8 O 2.38-2.65
La 0.8198 0.6802 0.0000  8 O 2.38-2.65
Mn 0.0000 0.5000 0.5000  4 O 1.89
Mn 0.5000 0.0000 0.5000  4 O 1.89
Cd 0.0000 0.0000 0.5000  10 O 2.86-3.05
Cd 0.5000 0.5000 0.5000  10 O 2.86-3.05
O 0.0000 0.0000 0.0000  4 La 2.56
O 0.1315 0.6315 0.2591  1 Mn 1.89
O 0.1315 0.6315 0.7409  1 Mn 1.89
O 0.3685 0.1315 0.2591  1 Mn 1.89
O 0.3685 0.1315 0.7409  1 Mn 1.89
O 0.5000 0.5000 0.0000  4 La 2.56
O 0.6315 0.8685 0.2591  1 Mn 1.89
O 0.6315 0.8685 0.7409  1 Mn 1.89
O 0.8685 0.3685 0.2591  1 Mn 1.89
O 0.8685 0.3685 0.7409  1 Mn 1.89

## Properties
The space group is P4/mbm, No. 127.

DFT (PBE+U) results for a geometry-optimized CaW4O8 structure.

Lattice parameters (Å, degrees): 6.6640 6.6640 6.6640 58.88 58.88 58.88
Closest atoms and distances in Å follow each position.
Element x y z (fractional)
Ca 0.0000 0.0000 0.0000  6 O 2.48
W 0.0000 0.0000 0.5000  6 O 2.09-2.14
W 0.0000 0.5000 0.0000  6 O 2.09-2.14
W 0.5000 0.0000 0.0000  6 O 2.09-2.14
W 0.5000 0.5000 0.5000  6 O 2.23
O 0.2190 0.7375 0.7375  3 W 2.14-2.23
O 0.2213 0.2213 0.2213  3 W 2.09
O 0.2625 0.2625 0.7810  3 W 2.14-2.23
O 0.2625 0.7810 0.2625  3 W 2.14-2.23
O 0.7375 0.2190 0.7375  3 W 2.14-2.23
O 0.7375 0.7375 0.2190  3 W 2.14-2.23
O 0.7787 0.7787 0.7787  3 W 2.09
O 0.7810 0.2625 0.2625  3 W 2.14-2.23

## Properties
The space group is R-3m, No. 166. The value obtained for the offset from the most stable computed form is 0.788 eV/f.u.

DFT (PBE+U) results for a geometry-optimized Li15Fe2O12 structure.

Lattice parameters (Å, degrees): 5.3190 5.9444 8.1783 85.97 88.98 89.07
Closest atoms and distances in Å follow each position.
Element x y z (fractional)
Li 0.0000 0.0000 0.0000  5 O 2.09-2.25
Li 0.0097 0.3108 0.7206  4 O 1.95-2.16
Li 0.1332 0.9293 0.6982  4 O 1.93-1.99
Li 0.2137 0.6343 0.0259  4 O 1.88-2.01
Li 0.2372 0.3945 0.4587  4 O 1.87-2.08
Li 0.3112 0.2521 0.1387  4 O 1.92-1.97
Li 0.3482 0.5790 0.7397  3 O 1.90-2.04
Li 0.3705 0.9184 0.4514  4 O 1.94-2.09
Li 0.5394 0.8871 0.1651  4 O 2.00-2.13
Li 0.6380 0.4800 0.2231  3 O 1.86-1.97
Li 0.6811 0.7595 0.8795  4 O 1.92-1.99
Li 0.7006 0.1448 0.5441  4 O 1.96-2.09
Li 0.7797 0.6271 0.5690  4 O 1.94-2.03
Li 0.8615 0.4145 0.9771  4 O 1.87-1.98
Li 0.8747 0.1404 0.2770  4 O 1.90-2.02
Fe 0.0130 0.7070 0.3139  6 O 1.89-2.10
Fe 0.5059 0.1780 0.8408  6 O 1.90-2.12
O 0.1550 0.6866 0.5529  5 Li 1.92-2.03, 1 Fe 2.10
O 0.1812 0.9797 0.2472  4 Li 1.90-2.09, 1 Fe 1.91
O 0.2139 0.3451 0.9126  1 Fe 1.93, 5 Li 1.95-2.04
O 0.2951 0.5384 0.2433  4 Li 1.86-1.96, 1 Fe 1.89
O 0.3460 0.8815 0.8949  3 Li 1.89-1.99, 1 Fe 1.99
O 0.3485 0.1725 0.6158  4 Li 1.87-2.09, 1 Fe 2.04
O 0.6577 0.1903 0.0777  4 Li 1.87-2.02
O 0.6829 0.4710 0.7756  5 Li 1.90-2.03, 1 Fe 2.03
O 0.7283 0.8757 0.3927  1 Fe 1.93, 5 Li 1.94-2.13
O 0.8051 0.0339 0.7693  1 Fe 1.90, 4 Li 1.93-2.00
O 0.8542 0.6918 0.0916  6 Li 1.95-2.12, 1 Fe 2.03
O 0.8585 0.4114 0.4000  5 Li 1.90-2.09, 1 Fe 2.03

## Properties
The space group is P1, No. 1.

no.,uncorrected energy (eV/atom),theoretical density (kg/m3)
1,-6.875,6277
2,-7.266,7357
3,-5.097,2626